{
  "formula": "VCdRh2O6",
  "functional": "PBE+U",
  "state": "relaxed",
  "cell": [[-3.060, -4.406, 0.443], [3.035, -1.713, 3.926], [-3.072, 2.482, 3.459]],
  "species": ["V", "Cd", "Rh", "Rh", "O", "O", "O", "O", "O", "O"],
  "frac_coords": [[0.621, 0.000, 0.000], [0.506, 0.500, 0.500], [0.918, 0.500, 0.000], [0.918, 0.000, 0.500], [0.762, 0.243, 0.243], [0.762, 0.243, 0.757], [0.123, 0.500, 0.500], [0.313, 0.000, 0.000], [0.762, 0.757, 0.757], [0.762, 0.757, 0.243]],
  "spacegroup": "P4mm",
  "total_energy_ev_per_atom": -5.932
}